Entry 1:
! BaTl2CuAg | Alexandria via LeMat-Bulk | PBE-GGA | optimized geometry; values from VASP
&SYSTEM
  ibrav = 0, nat = 5, ntyp = 4
/
ATOMIC_SPECIES
Ba 137.33 Ba.upf
Tl 204.38 Tl.upf
Cu 63.55 Cu.upf
Ag 107.87 Ag.upf
ATOMIC_POSITIONS angstrom
Ba 0.000 0.000 0.000
Tl 0.000 2.626 2.617
Tl 2.626 0.000 2.617
Cu 2.626 2.626 2.617
Ag 2.626 2.626 0.000
CELL_PARAMETERS angstrom
5.252 0.000 0.000
0.000 5.252 0.000
0.000 0.000 5.234
! Space-group type: P4/mmm
! Energy of formation from the pure elements: -0.19 eV/f.u.

Entry 2:
! ZrSnO2 | Alexandria via LeMat-Bulk | PBE-GGA | optimized geometry; values from VASP
&SYSTEM
  ibrav = 0, nat = 16, ntyp = 3
/
ATOMIC_SPECIES
Zr 91.22 Zr.upf
Sn 118.71 Sn.upf
O 16.00 O.upf
ATOMIC_POSITIONS angstrom
Zr 0.000 0.000 0.000
Zr 0.000 2.945 2.465
Zr 2.945 0.000 7.396
Zr 2.945 2.945 4.931
Sn 0.000 0.000 4.931
Sn 0.000 2.945 7.396
Sn 2.945 0.000 2.465
Sn 2.945 2.945 0.000
O 0.512 1.472 1.233
O 1.472 3.457 3.698
O 1.472 5.378 8.629
O 2.433 1.472 6.163
O 3.457 4.417 6.163
O 4.417 0.512 8.629
O 4.417 2.433 3.698
O 5.378 4.417 1.233
CELL_PARAMETERS angstrom
5.890 0.000 0.000
0.000 5.890 0.000
0.000 0.000 9.861
! Raw formation energy: -1.910 eV per atom
! Space-group type: I-42d